Crystalline Y2TcOs at its relaxed geometry, computed with PBE.

a b c (Å): 10.083 10.083 10.083
angles (deg): 17.87 17.87 17.87
Sites, in units of the cell vectors:
Y 0.012 0.012 0.012
Os 0.490 0.490 0.490
Y 0.237 0.237 0.237
Tc 0.760 0.760 0.760

Results
total energy = -32.35 eV/f.u.
space-group type = R3m, No. 160
energy of formation = 542.3 meV per atom
magnetic moment = 0.0 μB/f.u.